First-principles (PBE+U) data for V2OF5 after structural relaxation, as listed in Alexandria.

Structure (extended XYZ):
```
32
Lattice="4.702 0.000 0.000 0.003 5.060 0.000 0.069 0.034 17.336" Properties=species:S:1:pos:R:3 pbc="T T T"
V 0.000 0.000 0.000
V 0.075 2.643 13.199
V 0.170 2.486 1.782
V 2.309 0.249 14.532
V 2.382 0.241 8.650
V 2.401 2.653 4.492
V 2.547 2.813 10.489
V 4.637 5.046 5.826
O 1.285 1.591 14.403
O 1.242 2.030 2.996
O 3.614 3.274 11.703
O 3.616 3.701 5.701
F 1.049 1.679 0.196
F 1.058 4.225 1.446
F 1.171 4.541 7.255
F 1.226 1.997 11.699
F 1.216 1.647 5.703
F 1.233 4.288 4.535
F 1.312 4.375 15.942
F 1.307 4.228 13.222
F 1.389 4.326 10.128
F 1.411 1.870 9.002
F 3.430 3.646 8.920
F 3.452 1.098 10.102
F 3.535 0.774 15.964
F 3.551 3.302 2.996
F 3.601 3.660 14.407
F 3.606 1.014 13.236
F 3.605 0.914 7.225
F 3.631 1.064 4.516
F 3.731 0.944 1.484
F 3.757 3.373 0.275
```

Values from the calculation:
- Final energy: -200.67 eV for the cell shown
- Crystal system: triclinic
- Total magnetization: 3.00 μB/f.u.